[1]
DyTl2Zn3F12 | GGA-PBE | optimized geometry

```
DyTl2Zn3F12
1.0
3.7824 2.1838 5.1893
-3.7824 2.1838 5.1893
0.0000 -4.3675 5.1893
Dy Tl Zn F
1 2 3 12
direct
0.0000 0.0000 0.0000 Dy
0.3925 0.3925 0.3925 Tl
0.6075 0.6075 0.6075 Tl
0.0000 0.0000 0.5000 Zn
0.0000 0.5000 0.0000 Zn
0.5000 0.0000 0.0000 Zn
0.1088 0.7554 0.7554 F
0.1521 0.1521 0.5818 F
0.1521 0.5818 0.1521 F
0.2446 0.2446 0.8912 F
0.2446 0.8912 0.2446 F
0.4182 0.8479 0.8479 F
0.5818 0.1521 0.1521 F
0.7554 0.1088 0.7554 F
0.7554 0.7554 0.1088 F
0.8479 0.4181 0.8479 F
0.8479 0.8479 0.4182 F
0.8912 0.2446 0.2446 F
```

Values from the calculation:
As for the crystal system: trigonal. The density of states at the Fermi level comes out at 6.02 states/eV/f.u. The calculated density is 6.43 g/cm3. The energy is -4.451 eV per atom.


[2]
DyTlZnF6 | GGA-PBE | optimized geometry

```
DyTlZnF6
1.0
-3.8548 4.1108 5.6009
3.8548 -4.1108 5.6009
3.8548 4.1108 -5.6009
Dy Tl Zn F
2 2 2 12
direct
0.0000 0.0000 0.0000 Dy
0.5000 0.0000 0.5000 Dy
0.2725 0.5225 0.7500 Tl
0.7275 0.4775 0.2500 Tl
0.0000 0.0000 0.5000 Zn
0.0000 0.5000 0.0000 Zn
0.0398 0.3291 0.1359 F
0.0398 0.9039 0.7107 F
0.0485 0.2985 0.7500 F
0.3068 0.0961 0.6359 F
0.3068 0.6709 0.2107 F
0.3232 0.0732 0.2500 F
0.6768 0.9268 0.7500 F
0.6932 0.3291 0.7893 F
0.6932 0.9039 0.3641 F
0.9515 0.7015 0.2500 F
0.9602 0.0961 0.2893 F
0.9602 0.6709 0.8641 F
```

Values from the calculation:
As for the crystal system: orthorhombic. The density of states at the Fermi level comes out at 0.00 states/eV/f.u. The calculated density is 5.11 g/cm3. The energy is -5.153 eV per atom.


[3]
DyTm2F8 | GGA-PBE | optimized geometry

```
DyTm2F8
1.0
7.3156 0.0000 0.0000
-3.6578 6.3355 0.0000
0.0000 0.0000 4.2990
Dy Tm F
1 2 8
direct
0.0000 0.0000 0.0000 Dy
0.3333 0.6667 0.2058 Tm
0.6667 0.3333 0.7942 Tm
0.1698 0.3396 0.1918 F
0.1698 0.8302 0.1918 F
0.3333 0.6667 0.7029 F
0.3396 0.1698 0.8082 F
0.6604 0.8302 0.1918 F
0.6667 0.3333 0.2971 F
0.8302 0.1698 0.8082 F
0.8302 0.6604 0.8082 F
```

Values from the calculation:
As for the crystal system: trigonal. The density of states at the Fermi level comes out at 0.72 states/eV/f.u. The calculated density is 5.44 g/cm3. The energy is -6.433 eV per atom.


[4]
DyTm2F11 | GGA-PBE | optimized geometry

```
DyTm2F11
1.0
-4.1139 5.0507 5.5249
4.1139 -5.0507 5.5249
4.1139 5.0507 -5.5249
Dy Tm F
2 4 22
direct
0.2500 0.2500 0.0000 Dy
0.7500 0.7500 0.0000 Dy
0.1890 0.6576 0.8466 Tm
0.3110 0.1576 0.4686 Tm
0.6890 0.8424 0.5314 Tm
0.8110 0.3424 0.1534 Tm
0.0000 0.5000 0.5000 F
0.0299 0.9610 0.2749 F
0.0564 0.3423 0.1324 F
0.1861 0.4610 0.9312 F
0.1968 0.3898 0.5866 F
0.2099 0.9240 0.8676 F
0.2901 0.1577 0.7141 F
0.3031 0.8898 0.1929 F
0.3139 0.2451 0.2749 F
0.4436 0.5760 0.2859 F
0.4701 0.7451 0.9312 F
0.5000 0.0000 0.5000 F
0.5299 0.2549 0.0688 F
0.5564 0.4240 0.7141 F
0.6861 0.7549 0.7251 F
0.6968 0.1102 0.8071 F
0.7099 0.8423 0.2859 F
0.7901 0.0760 0.1324 F
0.8032 0.6102 0.4134 F
0.8139 0.5390 0.0688 F
0.9436 0.6577 0.8676 F
0.9701 0.0390 0.7251 F
```

Values from the calculation:
As for the crystal system: orthorhombic. The density of states at the Fermi level comes out at 11.38 states/eV/f.u. The calculated density is 5.13 g/cm3. The energy is -5.919 eV per atom.


[5]
Dy3TmF | GGA-PBE | optimized geometry

```
Dy3TmF
1.0
5.0125 0.0000 0.0000
0.0000 5.0125 0.0000
0.0000 0.0000 5.0125
Dy Tm F
3 1 1
direct
0.0000 0.0000 0.5000 Dy
0.0000 0.5000 0.0000 Dy
0.5000 0.0000 0.0000 Dy
0.5000 0.5000 0.5000 Tm
0.0000 0.0000 0.0000 F
```

Values from the calculation:
As for the crystal system: cubic. The density of states at the Fermi level comes out at 5.02 states/eV/f.u. The calculated density is 8.91 g/cm3. The energy is -4.953 eV per atom.


[6]
Dy2TmF11 | GGA-PBE | optimized geometry

```
Dy2TmF11
1.0
-4.1692 5.0866 5.4888
4.1692 -5.0866 5.4888
4.1692 5.0866 -5.4888
Dy Tm F
4 2 22
direct
0.1900 0.1606 0.3505 Dy
0.3100 0.6606 0.9706 Dy
0.6900 0.3394 0.0294 Dy
0.8100 0.8394 0.6495 Dy
0.2500 0.7500 0.5000 Tm
0.7500 0.2500 0.5000 Tm
0.0000 0.0000 0.0000 F
0.0244 0.4557 0.7690 F
0.0600 0.8385 0.6281 F
0.1867 0.9557 0.4313 F
0.1932 0.8912 0.0843 F
0.2104 0.4319 0.3719 F
0.2896 0.6615 0.2214 F
0.3068 0.3912 0.6980 F
0.3133 0.7446 0.7690 F
0.4400 0.0681 0.7786 F
0.4756 0.2446 0.4313 F
0.5000 0.5000 0.0000 F
0.5244 0.7554 0.5687 F
0.5600 0.9319 0.2214 F
0.6867 0.2554 0.2310 F
0.6932 0.6088 0.3020 F
0.7104 0.3385 0.7786 F
0.7896 0.5681 0.6281 F
0.8068 0.1088 0.9157 F
0.8133 0.0443 0.5687 F
0.9400 0.1615 0.3719 F
0.9756 0.5443 0.2310 F
```

Values from the calculation:
As for the crystal system: orthorhombic. The density of states at the Fermi level comes out at 10.79 states/eV/f.u. The calculated density is 5.01 g/cm3. The energy is -5.914 eV per atom.